Compound: YSc3Tl4
Source: Alexandria
Functional: GGA-PBE
Structure: optimized geometry

Crystal system: tetragonal
Magnetic moment in μB per formula unit: 0.00
Space group: P4/mmm, No. 123
Energy of formation from the pure elements in eV per atom: -0.277
Density in g/cm3: 8.83

Cell and atoms, written as POSCAR:
```
YSc3Tl4
1.0
-2.857 -2.995 -3.137
5.637 -4.501 -0.836
-3.198 -5.527 8.190
Y Tl Sc
2 8 6
direct
0.000 0.500 0.500 Y
0.000 0.500 0.000 Y
0.000 0.758 0.750 Tl
0.500 0.242 0.500 Tl
0.500 0.758 0.500 Tl
0.000 0.758 0.250 Tl
0.000 0.242 0.750 Tl
0.000 0.242 0.250 Tl
0.500 0.758 0.000 Tl
0.500 0.242 0.000 Tl
0.000 0.000 0.500 Sc
0.500 0.500 0.750 Sc
0.500 0.500 0.250 Sc
0.500 0.000 0.250 Sc
0.500 0.000 0.750 Sc
0.000 0.000 0.000 Sc
```

Compound: SrSm3Sb3
Source: Alexandria
Functional: GGA-PBE
Structure: optimized geometry

Crystal system: trigonal
Magnetic moment in μB per formula unit: 0.00
Space group: R-3, No. 148
Density in g/cm3: 6.24
E_tot in eV per atom: -4.94

Cell and atoms, written as POSCAR:
```
SrSm3Sb3
1.0
9.416 0.000 0.000
4.708 8.155 0.000
4.708 2.718 6.262
Sm Sr Sb
6 2 6
direct
0.091 0.355 0.740 Sm
0.187 0.909 0.260 Sm
0.813 0.091 0.740 Sm
0.645 0.187 0.260 Sm
0.355 0.813 0.740 Sm
0.909 0.645 0.260 Sm
0.666 0.666 0.002 Sr
0.334 0.334 0.998 Sr
0.924 0.289 0.244 Sb
0.076 0.711 0.756 Sb
0.289 0.543 0.244 Sb
0.543 0.924 0.244 Sb
0.457 0.076 0.756 Sb
0.711 0.457 0.756 Sb
```

Compound: YMn4Te
Source: Alexandria
Functional: GGA-PBE
Structure: optimized geometry

Crystal system: cubic
Magnetic moment in μB per formula unit: 5.50
Space group: F-43m, No. 216
Density in g/cm3: 7.86
E_tot in eV per atom: -7.48

Cell and atoms, written as POSCAR:
```
YMn4Te
1.0
3.666 -3.053 1.718
2.040 0.811 4.571
-0.952 -3.212 3.807
Y Mn Te
1 4 1
direct
0.000 0.000 0.000 Y
0.376 0.873 0.376 Mn
0.376 0.376 0.376 Mn
0.376 0.376 0.873 Mn
0.873 0.376 0.376 Mn
0.750 0.750 0.750 Te
```

Compound: La2CoRh
Source: Alexandria
Functional: GGA-PBE
Structure: optimized geometry

Crystal system: trigonal
Offset from the most stable computed form in kJ/mol of formula units: 66
Magnetic moment in μB per formula unit: 0.00
Space group: R-3m, No. 166
Energy of formation from the pure elements in eV per atom: -0.223
Density in g/cm3: 7.67

Cell and atoms, written as POSCAR:
```
La2CoRh
1.0
7.057 -0.061 -0.037
5.920 3.842 -0.037
5.920 1.725 3.433
Rh La Co
1 2 1
direct
0.250 0.250 0.250 Rh
0.003 0.003 0.003 La
0.497 0.497 0.497 La
0.750 0.750 0.750 Co
```

Compound: La2CdOs
Source: Alexandria
Functional: GGA-PBE
Structure: optimized geometry

Crystal system: trigonal
Magnetic moment in μB per formula unit: 0.00
Space group: R3m, No. 160
Energy of formation from the pure elements in eV per atom: 0.090
Density in g/cm3: 9.32

Cell and atoms, written as POSCAR:
```
La2CdOs
1.0
5.508 -0.670 -0.421
3.802 4.041 -0.421
3.802 1.377 3.823
La Cd Os
2 1 1
direct
0.245 0.245 0.245 La
0.024 0.024 0.024 La
0.786 0.786 0.786 Cd
0.444 0.444 0.444 Os
```

Compound: Na4Al3Ge3O13
Source: Alexandria
Functional: GGA-PBE
Structure: optimized geometry

Crystal system: trigonal
Magnetic moment in μB per formula unit: 1.00
Space group: R3c, No. 161
Density in g/cm3: 2.73
E_tot in eV per atom: -6.23

Cell and atoms, written as POSCAR:
```
Na4Al3Ge3O13
1.0
9.002 -0.029 -0.029
0.024 9.002 -0.029
0.024 0.024 9.002
Na Ge O Al
8 6 26 6
direct
0.658 0.658 0.345 Na
0.658 0.345 0.658 Na
0.845 0.158 0.158 Na
0.158 0.845 0.158 Na
0.344 0.344 0.344 Na
0.345 0.658 0.658 Na
0.158 0.158 0.845 Na
0.844 0.844 0.844 Na
0.503 0.253 0.003 Ge
0.003 0.503 0.253 Ge
0.503 0.753 0.003 Ge
0.753 0.003 0.503 Ge
0.003 0.503 0.753 Ge
0.253 0.003 0.503 Ge
0.420 0.144 0.862 O
0.920 0.362 0.644 O
0.144 0.144 0.585 O
0.363 0.363 0.086 O
0.012 0.012 0.012 O
0.862 0.420 0.144 O
0.861 0.144 0.421 O
0.585 0.144 0.144 O
0.362 0.644 0.920 O
0.144 0.585 0.144 O
0.644 0.644 0.085 O
0.512 0.512 0.512 O
0.921 0.644 0.361 O
0.863 0.586 0.863 O
0.144 0.421 0.861 O
0.586 0.863 0.863 O
0.144 0.862 0.420 O
0.421 0.861 0.144 O
0.085 0.644 0.644 O
0.361 0.921 0.644 O
0.644 0.085 0.644 O
0.863 0.863 0.586 O
0.363 0.086 0.363 O
0.086 0.363 0.363 O
0.644 0.361 0.921 O
0.644 0.920 0.362 O
0.753 0.503 0.003 Al
0.503 0.003 0.253 Al
0.003 0.753 0.503 Al
0.003 0.253 0.503 Al
0.253 0.503 0.003 Al
0.503 0.003 0.753 Al
```

Compound: Ca2YP
Source: Alexandria
Functional: GGA-PBE
Structure: optimized geometry

Crystal system: tetragonal
Magnetic moment in μB per formula unit: 0.00
Space group: I-42d, No. 122
Energy of formation from the pure elements in eV per atom: -0.396
Density in g/cm3: 2.46

Cell and atoms, written as POSCAR:
```
Ca2YP
1.0
-1.133 -4.150 8.898
-3.750 -8.095 -4.253
0.094 -7.202 2.142
Y Ca P
2 4 2
direct
0.750 0.250 0.500 Y
0.000 0.000 0.000 Y
0.875 0.756 0.750 Ca
0.506 0.125 0.250 Ca
0.375 0.494 0.750 Ca
0.244 0.625 0.250 Ca
0.500 0.500 0.000 P
0.250 0.750 0.500 P
```

Compound: TaTeW2
Source: Alexandria
Functional: GGA-PBE
Structure: optimized geometry

Crystal system: monoclinic
Magnetic moment in μB per formula unit: 0.00
Space group: C2/m, No. 12
Density in g/cm3: 15.38
E_tot in eV per atom: -9.71

Cell and atoms, written as POSCAR:
```
TaTeW2
1.0
4.978 0.009 0.011
3.896 3.099 0.011
0.921 0.323 4.745
Ta W Te
1 2 1
direct
0.250 0.250 0.250 Ta
0.994 0.994 0.022 W
0.506 0.506 0.478 W
0.750 0.750 0.750 Te
```

Compound: LiTiPO5
Source: Alexandria
Functional: GGA-PBE
Structure: optimized geometry

Crystal system: triclinic
Offset from the most stable computed form in kJ/mol of formula units: 10
Magnetic moment in μB per formula unit: 0.00
Space group: P-1, No. 2
Density in g/cm3: 3.05

Cell and atoms, written as POSCAR:
```
LiTiPO5
1.0
-1.427 -6.415 -2.500
-1.389 1.225 7.040
-7.268 2.555 -1.936
O Li Ti P
20 4 4 4
direct
0.238 0.742 0.671 O
0.264 0.255 0.832 O
0.148 0.868 0.979 O
0.255 0.580 0.991 O
0.657 0.889 0.482 O
0.761 0.595 0.488 O
0.736 0.745 0.168 O
0.852 0.132 0.021 O
0.343 0.111 0.518 O
0.944 0.901 0.689 O
0.427 0.349 0.263 O
0.239 0.405 0.512 O
0.078 0.652 0.243 O
0.056 0.099 0.311 O
0.446 0.902 0.184 O
0.554 0.098 0.816 O
0.922 0.348 0.757 O
0.745 0.420 0.009 O
0.573 0.651 0.737 O
0.762 0.258 0.329 O
0.694 0.185 0.566 Li
0.306 0.815 0.434 Li
0.796 0.711 0.932 Li
0.204 0.289 0.068 Li
0.751 0.980 0.236 Ti
0.246 0.518 0.738 Ti
0.249 0.020 0.764 Ti
0.754 0.482 0.262 Ti
0.267 0.242 0.405 P
0.733 0.758 0.595 P
0.768 0.251 0.905 P
0.232 0.749 0.095 P
```

Compound: LiHo2Mg8
Source: Alexandria
Functional: GGA-PBE
Structure: optimized geometry

Crystal system: monoclinic
Magnetic moment in μB per formula unit: 0.00
Space group: C2/m, No. 12
Energy of formation from the pure elements in eV per atom: -0.030
Density in g/cm3: 3.33

Cell and atoms, written as POSCAR:
```
LiHo2Mg8
1.0
4.714 0.000 -1.431
-0.609 6.405 -2.004
-0.003 0.922 8.467
Mg Li Ho
8 1 2
direct
0.590 0.434 0.180 Mg
0.337 0.110 0.675 Mg
0.972 0.266 0.944 Mg
0.028 0.734 0.056 Mg
0.410 0.566 0.820 Mg
0.853 0.847 0.705 Mg
0.147 0.153 0.295 Mg
0.663 0.890 0.325 Mg
0.500 0.000 0.000 Li
0.220 0.652 0.440 Ho
0.780 0.348 0.560 Ho
```

Compound: PrZn9Cu2
Source: Alexandria
Functional: GGA-PBE
Structure: optimized geometry

Crystal system: tetragonal
Offset from the most stable computed form in kJ/mol of formula units: 0
Magnetic moment in μB per formula unit: 0.00
Space group: I4_1/amd, No. 141
Energy of formation from the pure elements in eV per atom: -0.250
Density in g/cm3: 7.54

Cell and atoms, written as POSCAR:
```
PrZn9Cu2
1.0
6.132 0.000 2.823
3.066 7.476 1.411
-0.060 0.000 8.202
Zn Cu Pr
18 4 2
direct
0.146 0.417 0.174 Zn
0.069 0.326 0.917 Zn
0.013 0.917 0.674 Zn
0.737 0.583 0.826 Zn
0.313 0.674 0.083 Zn
0.013 0.674 0.917 Zn
0.437 0.826 0.417 Zn
0.604 0.083 0.326 Zn
0.313 0.083 0.674 Zn
0.681 0.174 0.583 Zn
0.750 0.500 0.500 Zn
0.069 0.917 0.326 Zn
0.437 0.417 0.826 Zn
0.681 0.583 0.174 Zn
0.000 0.000 0.000 Zn
0.146 0.174 0.417 Zn
0.737 0.826 0.583 Zn
0.604 0.326 0.083 Zn
0.875 0.250 0.250 Cu
0.875 0.750 0.250 Cu
0.875 0.250 0.750 Cu
0.375 0.750 0.750 Cu
0.250 0.500 0.500 Pr
0.500 0.000 0.000 Pr
```

Compound: NdErSc4
Source: Alexandria
Functional: GGA-PBE
Structure: optimized geometry

Crystal system: orthorhombic
Offset from the most stable computed form in kJ/mol of formula units: 1
Magnetic moment in μB per formula unit: 0.00
Space group: Immm, No. 71
Energy of formation from the pure elements in eV per atom: 0.067
Density in g/cm3: 5.04

Cell and atoms, written as POSCAR:
```
NdErSc4
1.0
-0.276 -4.179 -3.291
-3.441 -0.490 5.221
-10.671 2.806 -2.668
Sc Nd Er
8 2 2
direct
0.209 0.918 0.958 Sc
0.042 0.584 0.791 Sc
0.542 0.584 0.291 Sc
0.791 0.082 0.042 Sc
0.458 0.416 0.709 Sc
0.709 0.918 0.458 Sc
0.291 0.082 0.542 Sc
0.958 0.416 0.209 Sc
0.000 0.500 0.500 Nd
0.500 0.500 0.000 Nd
0.250 0.000 0.250 Er
0.750 0.000 0.750 Er
```